Computed, not measured: a geometry-optimized Pr2InIr structure at the PBE-GGA level of DFT.

Output
calculated total energy = -5.79 eV/atom
energy relative to the lowest polymorph listed for this composition = 1.19 kcal/mol of atoms
formation energy = -0.497 eV/atom
M_tot = 0.00 μB per cell

abc: 3.6537 3.6537 7.9160
angles: 90.00 90.00 90.00
With the nearest neighbours (Å) after each atom.
Fractional coordinates of all 4 atoms:
Pr 0.0000 0.0000 0.7852  4 Ir 3.09, 1 Pr 3.40, 4 In 3.43
Pr 0.0000 0.0000 0.2148  4 Ir 3.09, 1 Pr 3.40, 4 In 3.43
Ir 0.5000 0.5000 0.0000  8 Pr 3.09
In 0.5000 0.5000 0.5000  8 Pr 3.43, 4 In 3.65

Computed, not measured: a geometry-optimized PrInIrRh structure at the PBE-GGA level of DFT.

Output
calculated total energy = -6.35 eV/atom
formation energy = -0.420 eV/atom
M_tot = 0.00 μB per cell

abc: 4.8279 4.8279 4.8279
angles: 60.00 60.00 60.00
With the nearest neighbours (Å) after each atom.
Fractional coordinates of all 4 atoms:
Pr 0.7500 0.7500 0.7500  4 Rh 2.96, 4 Ir 2.96
Ir 0.0000 0.0000 0.0000  4 In 2.96, 4 Pr 2.96
Rh 0.5000 0.5000 0.5000  4 In 2.96, 4 Pr 2.96
In 0.2500 0.2500 0.2500  4 Ir 2.96, 4 Rh 2.96

Computed, not measured: a geometry-optimized Pr2InSb3Ir4 structure at the PBE-GGA level of DFT.

Output
energy relative to the elements, uncorrected = -571 meV/atom
calculated total energy = -6.58 eV/atom
M_tot = 0.00 μB per cell

abc: 4.4301 4.4301 11.1057
angles: 90.00 90.00 90.00
With the nearest neighbours (Å) after each atom.
Fractional coordinates of all 10 atoms:
Pr 0.5000 0.0000 0.2492  8 Ir 3.38-3.54, 6 Sb 3.38-3.56, 2 In 3.56
Pr 0.0000 0.5000 0.7508  8 Ir 3.38-3.54, 6 Sb 3.38-3.56, 2 In 3.56
In 0.5000 0.5000 0.5000  4 Ir 2.68
Sb 0.0000 0.0000 0.5000  4 Ir 2.68
Sb 0.5000 0.0000 0.8659  5 Ir 2.55-2.67
Sb 0.0000 0.5000 0.1341  5 Ir 2.55-2.67
Ir 0.5000 0.5000 0.0000  4 Sb 2.67
Ir 0.0000 0.0000 0.0000  4 Sb 2.67
Ir 0.5000 0.0000 0.6363  3 Sb 2.55-2.68, 2 In 2.68
Ir 0.0000 0.5000 0.3637  3 Sb 2.55-2.68, 2 In 2.68

Computed, not measured: a geometry-optimized TbPrInIr structure at the PBE-GGA level of DFT.

Output
calculated total energy = -5.69 eV/atom
formation energy = -0.441 eV/atom
M_tot = 0.00 μB per cell

abc: 5.1919 5.1919 5.1919
angles: 60.00 60.00 60.00
With the nearest neighbours (Å) after each atom.
Fractional coordinates of all 4 atoms:
Pr 0.2500 0.2500 0.2500  4 In 3.18, 4 Ir 3.18
Ir 0.0000 0.0000 0.0000  4 Pr 3.18, 4 Tb 3.18
Tb 0.7500 0.7500 0.7500  4 In 3.18, 4 Ir 3.18
In 0.5000 0.5000 0.5000  4 Tb 3.18, 4 Pr 3.18

Computed, not measured: a geometry-optimized PrYInIr structure at the PBE-GGA level of DFT.

Output
calculated total energy = -6.16 eV/atom
formation energy = -0.452 eV/atom
M_tot = 0.00 μB per cell

abc: 5.1870 5.1870 5.1870
angles: 60.00 60.00 60.00
With the nearest neighbours (Å) after each atom.
Fractional coordinates of all 4 atoms:
Pr 0.0000 0.0000 0.0000  4 In 3.18, 4 Ir 3.18
Y 0.5000 0.5000 0.5000  4 In 3.18, 4 Ir 3.18
Ir 0.7500 0.7500 0.7500  4 Y 3.18, 4 Pr 3.18
In 0.2500 0.2500 0.2500  4 Pr 3.18, 4 Y 3.18

Computed, not measured: a geometry-optimized PrZnInIr structure at the PBE-GGA level of DFT.

Output
calculated total energy = -4.70 eV/atom
formation energy = -0.290 eV/atom
M_tot = 0.00 μB per cell

abc: 4.9026 4.9026 4.9026
angles: 60.00 60.00 60.00
With the nearest neighbours (Å) after each atom.
Fractional coordinates of all 4 atoms:
Pr 0.7500 0.7500 0.7500  4 Ir 3.00, 4 Zn 3.00
Zn 0.0000 0.0000 0.0000  4 In 3.00, 4 Pr 3.00
Ir 0.5000 0.5000 0.5000  4 Pr 3.00, 4 In 3.00
In 0.2500 0.2500 0.2500  4 Ir 3.00, 4 Zn 3.00

Computed, not measured: a geometry-optimized InIrPt2 structure at the PBE-GGA level of DFT.

Output
calculated total energy = -5.99 eV/atom
formation energy = -0.070 eV/atom
M_tot = 0.00 μB per cell

abc: 4.8785 4.8785 4.8634
angles: 79.57 79.57 35.49
With the nearest neighbours (Å) after each atom.
Fractional coordinates of all 4 atoms:
In 0.7500 0.7500 0.7500  6 Pt 2.83-2.87, 4 Ir 2.85, 2 In 2.97
Ir 0.2500 0.2500 0.2500  6 Pt 2.80-2.81, 4 In 2.85, 2 Ir 2.97
Pt 0.9973 0.9973 0.0120  6 Pt 2.76-2.97, 3 Ir 2.80-2.81, 3 In 2.83-2.87
Pt 0.5027 0.5027 0.4880  6 Pt 2.76-2.97, 3 Ir 2.80-2.81, 3 In 2.83-2.87

Computed, not measured: a geometry-optimized In4IrPt structure at the PBE-GGA level of DFT.

Output
calculated total energy = -4.47 eV/atom
energy relative to the lowest polymorph listed for this composition = 0.00 kcal/mol of atoms
formation energy = -0.157 eV/atom
M_tot = 0.00 μB per cell

abc: 4.7202 4.7202 6.0473
angles: 90.00 90.00 90.00
With the nearest neighbours (Å) after each atom.
Fractional coordinates of all 6 atoms:
In 0.5000 0.0000 0.2470  2 Ir 2.79, 2 Pt 2.81, 2 In 2.99-3.06
In 0.0000 0.5000 0.2470  2 Ir 2.79, 2 Pt 2.81, 2 In 2.99-3.06
In 0.0000 0.5000 0.7530  2 Ir 2.79, 2 Pt 2.81, 2 In 2.99-3.06
In 0.5000 0.0000 0.7530  2 Ir 2.79, 2 Pt 2.81, 2 In 2.99-3.06
Ir 0.0000 0.0000 0.0000  8 In 2.79, 2 Pt 3.02
Pt 0.0000 0.0000 0.5000  8 In 2.81, 2 Ir 3.02

Computed, not measured: a geometry-optimized InIrPt2 structure at the PBE-GGA level of DFT.

Output
calculated total energy = -5.99 eV/atom
formation energy = -0.066 eV/atom
M_tot = 0.00 μB per cell

abc: 2.8900 3.9194 5.8086
angles: 90.00 90.00 90.00
With the nearest neighbours (Å) after each atom.
Fractional coordinates of all 4 atoms:
In 0.0000 0.0000 0.5000  6 Pt 2.85-2.95, 4 Ir 2.88, 2 In 2.89
Ir 0.5000 0.5000 0.7638  6 Pt 2.77-3.02, 4 In 2.88, 2 Ir 2.89
Pt 0.0000 0.0000 0.9921  4 Ir 2.77, 6 Pt 2.84-2.89, 2 In 2.86-2.95
Pt 0.5000 0.5000 0.2441  2 Ir 2.79-3.02, 6 Pt 2.84-2.89, 4 In 2.85

Computed, not measured: a geometry-optimized InIrPt2 structure at the PBE-GGA level of DFT.

Output
calculated total energy = -5.93 eV/atom
formation energy = -0.008 eV/atom
M_tot = 0.00 μB per cell

abc: 3.4489 3.4489 5.6396
angles: 90.00 90.00 90.00
With the nearest neighbours (Å) after each atom.
Fractional coordinates of all 4 atoms:
In 0.5000 0.5000 0.2500  2 Ir 2.82, 8 Pt 2.86
Ir 0.5000 0.5000 0.7500  8 Pt 2.78, 2 In 2.82
Pt 0.0000 0.0000 0.9859  2 Pt 2.66-2.98, 4 Ir 2.78, 4 In 2.86
Pt 0.0000 0.0000 0.5141  2 Pt 2.66-2.98, 4 Ir 2.78, 4 In 2.86

Computed, not measured: a geometry-optimized In2Ir2Pt structure at the PBE-GGA level of DFT.

Output
calculated total energy = -5.78 eV/atom
formation energy = 0.067 eV/atom
M_tot = 0.00 μB per cell

abc: 7.5038 7.5038 3.1647
angles: 90.00 90.00 90.00
With the nearest neighbours (Å) after each atom.
Fractional coordinates of all 10 atoms:
Ir 0.3705 0.8705 0.0000  6 In 2.65-2.77, 1 Ir 2.75, 2 Pt 2.95
Ir 0.8705 0.6295 0.0000  6 In 2.65-2.77, 1 Ir 2.75, 2 Pt 2.95
Ir 0.6295 0.1295 0.0000  6 In 2.65-2.77, 1 Ir 2.75, 2 Pt 2.95
Ir 0.1295 0.3705 0.0000  6 In 2.65-2.77, 1 Ir 2.75, 2 Pt 2.95
Pt 0.0000 0.0000 0.0000  4 Ir 2.95, 2 Pt 3.16, 8 In 3.20
Pt 0.5000 0.5000 0.0000  4 Ir 2.95, 2 Pt 3.16, 8 In 3.20
In 0.1704 0.6704 0.5000  6 Ir 2.65-2.77
In 0.6704 0.8296 0.5000  6 Ir 2.65-2.77
In 0.8296 0.3296 0.5000  6 Ir 2.65-2.77
In 0.3296 0.1704 0.5000  6 Ir 2.65-2.77

Computed, not measured: a geometry-optimized InIrPt2 structure at the PBE-GGA level of DFT.

Output
calculated total energy = -6.02 eV/atom
formation energy = -0.099 eV/atom
M_tot = 0.00 μB per cell

abc: 4.8332 4.8332 2.8268
angles: 90.00 90.00 90.00
With the nearest neighbours (Å) after each atom.
Fractional coordinates of all 4 atoms:
In 0.5000 0.0000 0.5000  8 Pt 2.80, 2 In 2.83
Ir 0.0000 0.5000 0.5000  8 Pt 2.80, 2 Ir 2.83
Pt 0.0000 0.0000 0.0000  4 In 2.80, 4 Ir 2.80, 2 Pt 2.83
Pt 0.5000 0.5000 0.0000  4 In 2.80, 4 Ir 2.80, 2 Pt 2.83